[1]
Density functional theory data (PBE-GGA) for crystalline Rb3MnSi at its relaxed geometry.

The structure in POSCAR format:
```
Rb3MnSi
1.0
6.689 0.000 0.000
0.000 6.689 0.000
0.000 0.000 6.689
Rb Mn Si
3 1 1
Direct
0.000 0.000 0.500
0.000 0.500 0.000
0.500 0.000 0.000
0.000 0.000 0.000
0.500 0.500 0.500
```

VASP energy   -2.350 eV/atom
SG   Pm-3m
Total magnetization   6.00 μB per formula unit

[2]
Density functional theory data (PBE-GGA) for crystalline RbMn2Si at its relaxed geometry.

The structure in POSCAR format:
```
RbMn2Si
1.0
-0.823 5.441 -0.469
-4.646 -0.449 2.951
1.423 3.704 7.971
Mn Si Rb
4 2 2
Direct
0.375 0.125 0.250
0.875 0.625 0.750
0.375 0.625 0.250
0.375 0.625 0.750
0.500 0.500 0.000
0.250 0.750 0.500
0.000 0.000 0.000
0.750 0.250 0.500
```

VASP energy   -5.485 eV/atom
Polymorph energy (0 for the lowest one)   0 meV per atom
SG   I4_1/amd
Total magnetization   8.13 μB per formula unit

[3]
Density functional theory data (PBE-GGA) for crystalline RbMnSi at its relaxed geometry.

The structure in POSCAR format:
```
RbMnSi
1.0
-1.328 3.836 0.344
-3.491 -1.046 -1.819
-4.534 -2.534 10.196
Rb Si Mn
2 2 2
Direct
0.253 0.751 0.786
0.747 0.249 0.214
0.249 0.750 0.396
0.751 0.250 0.604
0.250 0.250 0.500
0.750 0.750 0.500
```

VASP energy   -5.141 eV/atom
Polymorph energy (0 for the lowest one)   0 meV per atom
SG   P-1
Total magnetization   2.19 μB per formula unit

[4]
Density functional theory data (PBE-GGA) for crystalline RbMnSi at its relaxed geometry.

The structure in POSCAR format:
```
RbMnSi
1.0
-1.035 6.578 -1.094
-3.166 -1.463 -5.802
-6.896 -5.821 5.231
Si Rb Mn
4 4 4
Direct
0.456 0.169 0.446
0.456 0.669 0.946
0.456 0.331 0.946
0.456 0.831 0.446
0.086 0.000 0.062
0.822 0.500 0.812
0.822 0.000 0.312
0.086 0.500 0.562
0.475 0.500 0.166
0.434 0.000 0.901
0.475 0.000 0.666
0.434 0.500 0.401
```

VASP energy   -4.643 eV/atom
Polymorph energy (0 for the lowest one)   498 meV per atom
SG   Cm
Total magnetization   3.76 μB per formula unit

[5]
Density functional theory data (PBE-GGA) for crystalline RbMn2Si at its relaxed geometry.

The structure in POSCAR format:
```
RbMn2Si
1.0
-0.968 -3.819 -1.975
-3.238 -0.179 -2.984
0.961 -0.583 -4.262
Rb Mn Si
1 2 1
Direct
0.500 0.500 0.500
0.250 0.250 0.250
0.750 0.750 0.750
0.000 0.000 0.000
```

VASP energy   -4.579 eV/atom
Polymorph energy (0 for the lowest one)   905 meV per atom
SG   Fm-3m
Total magnetization   0.00 μB per formula unit

[6]
Density functional theory data (PBE-GGA) for crystalline RbMnSi3 at its relaxed geometry.

The structure in POSCAR format:
```
RbMnSi3
1.0
-0.664 -2.454 4.622
-3.845 -2.932 -2.109
3.550 -3.635 -1.419
Si Rb Mn
3 1 1
Direct
0.000 0.500 0.000
0.000 0.000 0.500
0.500 0.000 0.000
0.000 0.000 0.000
0.500 0.500 0.500
```

VASP energy   -2.323 eV/atom
Polymorph energy (0 for the lowest one)   2643 meV per atom
SG   Pm-3m
Total magnetization   0.57 μB per formula unit

[7]
Density functional theory data (PBE-GGA) for crystalline RbMnSi at its relaxed geometry.

The structure in POSCAR format:
```
RbMnSi
1.0
3.912 0.001 -0.001
1.956 3.388 -0.003
1.890 -0.567 12.116
Rb Mn Si
2 2 2
Direct
0.507 0.281 0.194
0.493 0.719 0.806
0.325 0.336 0.514
0.675 0.664 0.486
0.057 0.983 0.399
0.943 0.017 0.601
```

VASP energy   -5.078 eV/atom
Polymorph energy (0 for the lowest one)   63 meV per atom
SG   P-1
Total magnetization   0.00 μB per formula unit

[8]
Density functional theory data (PBE-GGA) for crystalline RbMnSi2 at its relaxed geometry.

The structure in POSCAR format:
```
RbMnSi2
1.0
-2.921 0.501 3.659
-2.054 4.157 0.821
-4.621 0.528 -0.732
Si Rb Mn
2 1 1
Direct
0.250 0.250 0.250
0.750 0.750 0.750
0.500 0.500 0.500
0.000 0.000 0.000
```

VASP energy   -3.924 eV/atom
Polymorph energy (0 for the lowest one)   1050 meV per atom
SG   Fm-3m
Total magnetization   0.00 μB per formula unit

[9]
Density functional theory data (PBE-GGA) for crystalline Rb2MnSi at its relaxed geometry.

The structure in POSCAR format:
```
Rb2MnSi
1.0
-5.827 -12.062 3.001
9.982 -2.566 9.068
0.820 -6.290 7.709
Mn Si Rb
2 2 4
Direct
0.750 0.250 0.500
0.000 0.000 0.000
0.500 0.500 0.000
0.250 0.750 0.500
0.895 0.625 0.250
0.875 0.105 0.750
0.375 0.145 0.750
0.855 0.125 0.250
```

VASP energy   -3.655 eV/atom
Polymorph energy (0 for the lowest one)   0 meV per atom
SG   I-42d
Total magnetization   3.74 μB per formula unit

[10]
Density functional theory data (PBE-GGA) for crystalline Rb2MnSi at its relaxed geometry.

The structure in POSCAR format:
```
Rb2MnSi
1.0
-2.207 -4.820 -2.680
0.052 -5.240 2.798
-5.087 -2.396 1.915
Rb Si Mn
2 1 1
Direct
0.750 0.750 0.750
0.250 0.250 0.250
0.000 0.000 0.000
0.500 0.500 0.500
```

VASP energy   -3.094 eV/atom
Polymorph energy (0 for the lowest one)   561 meV per atom
SG   Fm-3m
Total magnetization   4.19 μB per formula unit

[11]
Density functional theory data (PBE-GGA) for crystalline RbMnSi at its relaxed geometry.

The structure in POSCAR format:
```
RbMnSi
1.0
-1.380 2.406 3.061
-0.118 -1.460 3.879
10.845 5.144 2.301
Rb Mn Si
2 2 2
Direct
0.838 0.741 0.871
0.372 0.477 0.238
0.456 0.699 0.505
0.131 0.348 0.504
0.237 0.053 0.662
0.799 0.021 0.490
```

VASP energy   -4.993 eV/atom
Polymorph energy (0 for the lowest one)   149 meV per atom
SG   P1
Total magnetization   0.00 μB per formula unit

[12]
Density functional theory data (PBE-GGA) for crystalline RbMnSi at its relaxed geometry.

The structure in POSCAR format:
```
RbMnSi
1.0
-0.794 1.344 -2.877
2.604 -2.094 -1.697
-8.329 -9.393 -1.055
Mn Si Rb
2 2 2
Direct
0.019 0.251 0.570
0.981 0.749 0.430
0.476 0.248 0.413
0.524 0.752 0.587
0.911 0.736 0.176
0.089 0.264 0.824
```

VASP energy   -5.000 eV/atom
Polymorph energy (0 for the lowest one)   141 meV per atom
SG   P-1
Total magnetization   2.46 μB per formula unit

Values of ΔE_f (raw), in order: 1149 698 45 544 1603 2959 108 1322 477 1038 194 187, all in meV per atom.